{"formula": "AcHoAl2Si", "functional": "GGA-PBE", "state": "relaxed", "magmom_total_mub_per_cell": 0.0, "formation_energy_uncorrected_mev_per_atom": -449, "lattice_angstrom": [[4.4531, 0.0000, 0.0000], [0.0000, 4.5513, 0.0000], [-2.2266, -2.2757, 6.1185]], "species": ["Ho", "Si", "Al", "Al", "Ac"], "fractional_positions": [[0.1974, 0.6974, 0.3948], [0.8398, 0.8398, 0.6796], [0.6876, 0.1876, 0.3753], [0.0479, 0.0479, 0.0958], [0.4394, 0.4394, 0.8788]]}



{"formula": "AcSmHoAl", "functional": "GGA-PBE", "state": "relaxed", "magmom_total_mub_per_cell": 0.0, "delta_e_f_kj_per_mol_atoms": 7.1, "lattice_angstrom": [[5.5379, 0.0000, 0.0000], [2.7690, 4.7960, 0.0000], [2.7690, 1.5987, 4.5217]], "species": ["Ac", "Al", "Sm", "Ho"], "fractional_positions": [[0.5000, 0.5000, 0.5000], [0.0000, 0.0000, 0.0000], [0.2500, 0.2500, 0.2500], [0.7500, 0.7500, 0.7500]]}



{"formula": "AcHoAlSn", "functional": "GGA-PBE", "state": "relaxed", "magmom_total_mub_per_cell": 0.0, "delta_e_f_kj_per_mol_atoms": -35.8, "lattice_angstrom": [[-1.0281, 0.5014, 5.3558], [1.4415, -4.0005, 3.4513], [4.1242, 0.7736, 3.5194]], "species": ["Sn", "Ho", "Ac", "Al"], "fractional_positions": [[0.5000, 0.5000, 0.5000], [0.2500, 0.2500, 0.2500], [0.7500, 0.7500, 0.7500], [0.0000, 0.0000, 0.0000]]}



{"formula": "AcHoAlTl", "functional": "GGA-PBE", "state": "relaxed", "magmom_total_mub_per_cell": 0.0, "delta_e_f_kj_per_mol_atoms": -25.0, "lattice_angstrom": [[5.4956, 0.0000, 0.0000], [2.7478, 4.7594, 0.0000], [2.7478, 1.5865, 4.4872]], "species": ["Tl", "Ac", "Al", "Ho"], "fractional_positions": [[0.0000, 0.0000, 0.0000], [0.7500, 0.7500, 0.7500], [0.5000, 0.5000, 0.5000], [0.2500, 0.2500, 0.2500]]}



{"formula": "AcHoTmAl", "functional": "GGA-PBE", "state": "relaxed", "magmom_total_mub_per_cell": 0.2, "delta_e_f_kj_per_mol_atoms": 10.1, "lattice_angstrom": [[5.4791, 0.0000, 0.0000], [2.7396, 4.7450, 0.0000], [2.7396, 1.5817, 4.4737]], "species": ["Tm", "Al", "Ac", "Ho"], "fractional_positions": [[0.5000, 0.5000, 0.5000], [0.2500, 0.2500, 0.2500], [0.7500, 0.7500, 0.7500], [0.0000, 0.0000, 0.0000]]}



{"formula": "AcHoAlZn", "functional": "GGA-PBE", "state": "relaxed", "magmom_total_mub_per_cell": 0.0, "delta_e_f_kj_per_mol_atoms": -23.9, "lattice_angstrom": [[-4.5794, -2.4614, -1.2357], [-2.3220, -3.2588, 3.5418], [-4.5490, 1.4611, 2.3933]], "species": ["Ac", "Zn", "Ho", "Al"], "fractional_positions": [[0.2500, 0.2500, 0.2500], [0.0000, 0.0000, 0.0000], [0.7500, 0.7500, 0.7500], [0.5000, 0.5000, 0.5000]]}



{"formula": "AcAlI", "functional": "GGA-PBE", "state": "relaxed", "magmom_total_mub_per_cell": 0.0, "formation_energy_uncorrected_mev_per_atom": -956, "lattice_angstrom": [[-0.1465, 0.5822, 4.4939], [-0.4045, -3.5902, 2.7391], [13.0685, -1.1806, 0.8857]], "species": ["Ac", "Ac", "I", "I", "Al", "Al"], "fractional_positions": [[0.9922, 0.9922, 0.6740], [0.0078, 0.0078, 0.3260], [0.3181, 0.3181, 0.8397], [0.6819, 0.6819, 0.1603], [0.6662, 0.6662, 0.5116], [0.3338, 0.3338, 0.4884]]}



{"formula": "Ac7AlI12", "functional": "GGA-PBE", "state": "relaxed", "magmom_total_mub_per_cell": 0.0, "formation_energy_uncorrected_mev_per_atom": -1271, "lattice_angstrom": [[11.0336, 0.0000, -2.2708], [-4.6711, 8.5344, -4.0693], [-1.6913, 0.0000, 10.4094]], "species": ["I", "I", "I", "I", "I", "I", "I", "I", "I", "I", "I", "I", "Al", "Ac", "Ac", "Ac", "Ac", "Ac", "Ac", "Ac"], "fractional_positions": [[0.6039, 0.7624, 0.0826], [0.5213, 0.9174, 0.6798], [0.2293, 0.5402, 0.1525], [0.1586, 0.6798, 0.7624], [0.0768, 0.8475, 0.3877], [0.6891, 0.6123, 0.4598], [0.9232, 0.1525, 0.6123], [0.3961, 0.2376, 0.9174], [0.8414, 0.3202, 0.2376], [0.4787, 0.0826, 0.3202], [0.3109, 0.3877, 0.5402], [0.7707, 0.4598, 0.8475], [0.0000, 0.0000, 0.0000], [0.8873, 0.2133, 0.9265], [0.0392, 0.9265, 0.7132], [0.6740, 0.7132, 0.7867], [0.9608, 0.0735, 0.2868], [0.3260, 0.2868, 0.2133], [0.5000, 0.0000, 0.0000], [0.1127, 0.7867, 0.0735]]}



{"formula": "Ac4AlInI2", "functional": "GGA-PBE", "state": "relaxed", "magmom_total_mub_per_cell": 0.0, "formation_energy_uncorrected_mev_per_atom": -609, "lattice_angstrom": [[4.7993, 0.0000, 0.0000], [0.0000, 8.4359, 0.1819], [0.0000, -2.9100, 7.7885]], "species": ["I", "I", "In", "Ac", "Ac", "Ac", "Ac", "Al"], "fractional_positions": [[0.0000, 0.5000, 0.5000], [0.5000, 0.0000, 0.5000], [0.5000, 0.5000, 0.0000], [0.0000, 0.2524, 0.7770], [0.0000, 0.7476, 0.2230], [0.5000, 0.7660, 0.7822], [0.5000, 0.2340, 0.2178], [0.0000, 0.0000, 0.0000]]}



{"formula": "Ac4AlPI2", "functional": "GGA-PBE", "state": "relaxed", "magmom_total_mub_per_cell": 0.0, "formation_energy_uncorrected_mev_per_atom": -945, "lattice_angstrom": [[4.5427, 0.0000, 0.0000], [0.0000, 7.9312, 0.1265], [0.0000, -2.7947, 8.2155]], "species": ["P", "Ac", "Ac", "Ac", "Ac", "Al", "I", "I"], "fractional_positions": [[0.5000, 0.5000, 0.0000], [0.5000, 0.2469, 0.2055], [0.0000, 0.2753, 0.8027], [0.5000, 0.7531, 0.7945], [0.0000, 0.7247, 0.1973], [0.0000, 0.0000, 0.0000], [0.5000, 0.0000, 0.5000], [0.0000, 0.5000, 0.5000]]}



{"formula": "AcAlSiI", "functional": "GGA-PBE", "state": "relaxed", "magmom_total_mub_per_cell": 0.0, "formation_energy_uncorrected_mev_per_atom": -763, "lattice_angstrom": [[-3.1052, 3.1257, 0.0040], [-3.3812, -0.2573, 2.8131], [5.9162, 8.9678, 11.3814]], "species": ["Ac", "Ac", "I", "I", "Al", "Al", "Si", "Si"], "fractional_positions": [[0.9257, 0.9257, 0.2230], [0.0743, 0.0743, 0.7770], [0.7892, 0.7892, 0.6325], [0.2108, 0.2108, 0.3675], [0.3121, 0.3121, 0.0638], [0.6879, 0.6879, 0.9362], [0.3663, 0.3663, 0.9011], [0.6337, 0.6337, 0.0989]]}



{"formula": "Ac8AlTl3I4", "functional": "GGA-PBE", "state": "relaxed", "magmom_total_mub_per_cell": 0.0, "formation_energy_uncorrected_mev_per_atom": -625, "lattice_angstrom": [[9.7787, 0.0000, 0.0000], [0.0000, 9.5804, -0.1419], [-4.8894, -4.8819, 6.9157]], "species": ["Ac", "Ac", "Ac", "Ac", "Ac", "Ac", "Ac", "Ac", "I", "I", "I", "I", "Al", "Tl", "Tl", "Tl"], "fractional_positions": [[0.2582, 0.2748, 0.5165], [0.7461, 0.7205, 0.9834], [0.2373, 0.7205, 0.4745], [0.7418, 0.7252, 0.4835], [0.2539, 0.2795, 0.0166], [0.2372, 0.7205, 0.9834], [0.7627, 0.2795, 0.5255], [0.7628, 0.2795, 0.0166], [0.0000, 0.0000, 0.5000], [0.0000, 0.0000, 0.0000], [0.5000, 0.0000, 0.0000], [0.5000, 0.0000, 0.5000], [0.0000, 0.5000, 0.0000], [0.5000, 0.5000, 0.0000], [0.5000, 0.5000, 0.5000], [0.0000, 0.5000, 0.5000]]}



DFT total energy, respectively: -4.77, -4.21, -4.48, -3.96, -4.12, -3.67, -4.09, -3.83, -3.86, -4.53, -4.47, -3.74 eV per atom.